This record from the Alexandria database describes an optimized crystal structure of Ni5Cl. The functional is PBE.

Cell lengths 4.7370, 4.7370, 4.1342 Å; angles 90.00, 90.00, 120.00 degrees
Space group P6/mmm (No. 191)
Unique sites:
Ni (0.0000, 0.5000, 0.0000) x3
Ni (0.3333, 0.6667, 0.5000) x2
Cl (0.0000, 0.0000, 0.5000) x1

energy above the lowest structure with this stoichiometry	1.57	eV/f.u.
final energy	-4.61	eV per atom
energy relative to the elements, uncorrected	0.5158	eV per atom

---

This record from the Alexandria database describes an optimized crystal structure of Ni4Cl5. The functional is PBE.

Cell lengths 9.873, 9.873, 3.088 Å; angles 90.00, 90.00, 90.00 degrees
Space group I4/mmm (No. 139)
Unique sites:
Ni (0.000, 0.361, 0.000) x8
Cl (0.000, 0.000, 0.000) x2
Cl (0.166, 0.166, 0.500) x8

energy above the lowest structure with this stoichiometry	5.37	eV/f.u.
final energy	-2.95	eV per atom
energy relative to the elements, uncorrected	0.6462	eV per atom

---

This record from the Alexandria database describes an optimized crystal structure of NiCl3. The functional is PBE.

Cell lengths 7.7484, 7.7484, 4.7220 Å; angles 90.00, 90.00, 120.00 degrees
Space group R-3m (No. 166, hexagonal axes)
Unique sites:
Ni (0.0000, 0.0000, 0.0000) x3
Cl (0.0000, 0.5000, 0.0000) x9

final energy	-2.36	eV per atom
energy relative to the elements, uncorrected	0.4680	eV per atom